[1]
# ZnGaNiPt

A relaxed ZnGaNiPt crystal (PBE, Alexandria via LeMat-Bulk).

- symmetry = No. 99
- final energy (eV per atom) = -4.455
- formation energy (kcal/mol of atoms) = -9.79

Cell lengths 3.098, 3.098, 5.691 Å; angles 90.00, 90.00, 90.00 degrees
Fractional positions:
Zn  0.000  0.000  0.000
Ga  0.000  0.000  0.461
Ni  0.500  0.500  0.238
Pt  0.500  0.500  0.727

[2]
# ZrGaNiPt

A relaxed ZrGaNiPt crystal (PBE, Alexandria via LeMat-Bulk).

- symmetry = No. 216
- final energy (eV per atom) = -6.533
- formation energy (kcal/mol of atoms) = -15.77

Cell lengths 6.341, 6.341, 6.341 Å; angles 90.00, 90.00, 90.00 degrees
Fractional positions:
Zr  0.000  0.000  0.000
Zr  0.000  0.500  0.500
Zr  0.500  0.000  0.500
Zr  0.500  0.500  0.000
Ga  0.000  0.000  0.500
Ga  0.000  0.500  0.000
Ga  0.500  0.000  0.000
Ga  0.500  0.500  0.500
Ni  0.250  0.250  0.250
Ni  0.250  0.750  0.750
Ni  0.750  0.250  0.750
Ni  0.750  0.750  0.250
Pt  0.250  0.250  0.750
Pt  0.250  0.750  0.250
Pt  0.750  0.250  0.250
Pt  0.750  0.750  0.750

[3]
# Pu3Ga2Ni6

A relaxed Pu3Ga2Ni6 crystal (PBE, Alexandria via LeMat-Bulk).

- symmetry = No. 229
- final energy (eV per atom) = -7.951
- formation energy (kcal/mol of atoms) = -7.81

Cell lengths 7.618, 7.618, 7.618 Å; angles 109.47, 109.47, 109.47 degrees
Fractional positions:
Pu  0.000  0.270  0.270
Pu  0.000  0.730  0.730
Pu  0.270  0.000  0.270
Pu  0.270  0.270  0.000
Pu  0.730  0.000  0.730
Pu  0.730  0.730  0.000
Ga  0.000  0.000  0.500
Ga  0.000  0.500  0.000
Ga  0.500  0.000  0.000
Ga  0.500  0.500  0.500
Ni  0.000  0.347  0.653
Ni  0.000  0.653  0.347
Ni  0.307  0.653  0.653
Ni  0.347  0.000  0.653
Ni  0.347  0.347  0.693
Ni  0.347  0.653  0.000
Ni  0.347  0.693  0.347
Ni  0.653  0.000  0.347
Ni  0.653  0.307  0.653
Ni  0.653  0.347  0.000
Ni  0.653  0.653  0.307
Ni  0.693  0.347  0.347

[4]
# PuGa2Ni2

A relaxed PuGa2Ni2 crystal (PBE, Alexandria via LeMat-Bulk).

- symmetry = No. 129
- final energy (eV per atom) = -6.770
- formation energy (kcal/mol of atoms) = -8.77

Cell lengths 4.119, 4.119, 9.808 Å; angles 90.00, 90.00, 90.00 degrees
Fractional positions:
Pu  0.250  0.250  0.245
Pu  0.750  0.750  0.755
Ga  0.250  0.250  0.876
Ga  0.250  0.750  0.500
Ga  0.750  0.250  0.500
Ga  0.750  0.750  0.124
Ni  0.250  0.250  0.633
Ni  0.250  0.750  0.000
Ni  0.750  0.250  0.000
Ni  0.750  0.750  0.367

[5]
# PuGa8Ni4

A relaxed PuGa8Ni4 crystal (PBE, Alexandria via LeMat-Bulk).

- symmetry = No. 139
- final energy (eV per atom) = -5.116
- formation energy (kcal/mol of atoms) = -8.58

Cell lengths 6.639, 6.639, 6.639 Å; angles 98.57, 98.57, 134.59 degrees
Fractional positions:
Pu  0.000  0.000  0.000
Ga  0.000  0.343  0.343
Ga  0.000  0.657  0.657
Ga  0.279  0.500  0.779
Ga  0.343  0.000  0.343
Ga  0.500  0.279  0.779
Ga  0.500  0.721  0.221
Ga  0.657  0.000  0.657
Ga  0.721  0.500  0.221
Ni  0.000  0.000  0.500
Ni  0.000  0.500  0.000
Ni  0.500  0.000  0.000
Ni  0.500  0.500  0.500

[6]
# Pu3Ga5Ni2

A relaxed Pu3Ga5Ni2 crystal (PBE, Alexandria via LeMat-Bulk).

- symmetry = No. 127
- final energy (eV per atom) = -7.359
- formation energy (kcal/mol of atoms) = -8.98

Cell lengths 9.568, 9.568, 4.062 Å; angles 90.00, 90.00, 90.00 degrees
Fractional positions:
Pu  0.000  0.000  0.000
Pu  0.181  0.319  0.000
Pu  0.319  0.819  0.000
Pu  0.500  0.500  0.000
Pu  0.681  0.181  0.000
Pu  0.819  0.681  0.000
Ga  0.000  0.500  0.500
Ga  0.064  0.773  0.500
Ga  0.227  0.064  0.500
Ga  0.273  0.564  0.500
Ga  0.436  0.273  0.500
Ga  0.500  0.000  0.500
Ga  0.564  0.727  0.500
Ga  0.727  0.436  0.500
Ga  0.773  0.936  0.500
Ga  0.936  0.227  0.500
Ni  0.113  0.613  0.000
Ni  0.387  0.113  0.000
Ni  0.613  0.887  0.000
Ni  0.887  0.387  0.000

[7]
# PuGaNi

A relaxed PuGaNi crystal (PBE, Alexandria via LeMat-Bulk).

- symmetry = No. 216
- final energy (eV per atom) = -7.873
- formation energy (kcal/mol of atoms) = -3.69

Cell lengths 6.243, 6.243, 6.243 Å; angles 90.00, 90.00, 90.00 degrees
Fractional positions:
Pu  0.000  0.000  0.000
Pu  0.000  0.500  0.500
Pu  0.500  0.000  0.500
Pu  0.500  0.500  0.000
Ga  0.000  0.000  0.500
Ga  0.000  0.500  0.000
Ga  0.500  0.000  0.000
Ga  0.500  0.500  0.500
Ni  0.250  0.250  0.250
Ni  0.250  0.750  0.750
Ni  0.750  0.250  0.750
Ni  0.750  0.750  0.250

[8]
# PuGaNi

A relaxed PuGaNi crystal (PBE, Alexandria via LeMat-Bulk).

- symmetry = No. 11
- final energy (eV per atom) = -8.096
- formation energy (kcal/mol of atoms) = -8.83

Cell lengths 6.745, 4.132, 11.488 Å; angles 90.00, 91.14, 90.00 degrees
Fractional positions:
Pu  0.014  0.250  0.291
Pu  0.360  0.750  0.923
Pu  0.477  0.750  0.625
Pu  0.523  0.250  0.375
Pu  0.640  0.250  0.077
Pu  0.986  0.750  0.709
Ga  0.013  0.250  0.915
Ga  0.155  0.250  0.542
Ga  0.346  0.750  0.205
Ga  0.654  0.250  0.795
Ga  0.845  0.750  0.458
Ga  0.987  0.750  0.085
Ni  0.219  0.250  0.096
Ni  0.220  0.750  0.422
Ni  0.277  0.250  0.757
Ni  0.723  0.750  0.243
Ni  0.780  0.250  0.578
Ni  0.781  0.750  0.904

[9]
# PuGa4Ni4

A relaxed PuGa4Ni4 crystal (PBE, Alexandria via LeMat-Bulk).

- symmetry = No. 87
- final energy (eV per atom) = -5.693
- formation energy (kcal/mol of atoms) = -4.30

Cell lengths 6.196, 6.196, 6.196 Å; angles 97.60, 97.60, 137.34 degrees
Fractional positions:
Pu  0.000  0.000  0.000
Ga  0.124  0.603  0.727
Ga  0.397  0.124  0.521
Ga  0.603  0.876  0.479
Ga  0.876  0.397  0.273
Ni  0.178  0.305  0.483
Ni  0.305  0.822  0.128
Ni  0.695  0.178  0.872
Ni  0.822  0.695  0.517

[10]
# Pu2GaNi

A relaxed Pu2GaNi crystal (PBE, Alexandria via LeMat-Bulk).

- symmetry = No. 69
- final energy (eV per atom) = -9.567
- formation energy (kcal/mol of atoms) = -4.59

Cell lengths 6.264, 6.137, 5.841 Å; angles 63.00, 60.80, 56.19 degrees
Fractional positions:
Pu  0.175  0.825  0.825
Pu  0.250  0.250  0.250
Pu  0.750  0.750  0.750
Pu  0.825  0.175  0.175
Ga  0.323  0.677  0.323
Ga  0.677  0.323  0.677
Ni  0.284  0.284  0.716
Ni  0.716  0.716  0.284

[11]
# PuGaNi

A relaxed PuGaNi crystal (PBE, Alexandria via LeMat-Bulk).

- symmetry = No. 10
- final energy (eV per atom) = -7.823
- formation energy (kcal/mol of atoms) = -2.52

Cell lengths 5.165, 4.512, 5.465 Å; angles 90.00, 97.78, 90.00 degrees
Fractional positions:
Pu  0.200  0.000  0.298
Pu  0.800  0.000  0.702
Ga  0.280  0.500  0.709
Ga  0.720  0.500  0.291
Ni  0.322  0.000  0.828
Ni  0.678  0.000  0.172

[12]
# Pu2GaNi

A relaxed Pu2GaNi crystal (PBE, Alexandria via LeMat-Bulk).

- symmetry = No. 123
- final energy (eV per atom) = -9.538
- formation energy (kcal/mol of atoms) = -3.93

Cell lengths 3.708, 3.708, 5.835 Å; angles 90.00, 90.00, 90.00 degrees
Fractional positions:
Pu  0.000  0.000  0.239
Pu  0.000  0.000  0.761
Ga  0.500  0.500  0.500
Ni  0.500  0.500  0.000